(1)
The following is a DFT calculation (PBE) of a relaxed structure of NdHoCuAg.

Cell: 3.5734 3.5734 7.3407 Å, 90.00 90.00 90.00°
Space group P4mm (No. 99)
Asymmetric unit:
Nd  0.0000  0.0000  0.0000 [1 per cell]
Ho  0.0000  0.0000  0.5271 [1 per cell]
Cu  0.5000  0.5000  0.7424 [1 per cell]
Ag  0.5000  0.5000  0.2844 [1 per cell]

Results
The value obtained for the calculated total energy is -0.3177 Ry per atom. The energy above the lowest structure with this stoichiometry is 0.00 kcal/mol of atoms. The calculation puts the density of states at the Fermi level at 2.15 states/eV/f.u. The value obtained for the energy relative to the elements is -0.2493 eV/atom.


(2)
The following is a DFT calculation (PBE) of a relaxed structure of NdHoCuAg.

Cell: 7.2411 7.2411 7.2411 Å, 90.00 90.00 90.00°
Space group F-43m (No. 216)
Asymmetric unit:
Nd  0.0000  0.0000  0.0000 [4 per cell]
Ho  0.0000  0.0000  0.5000 [4 per cell]
Cu  0.2500  0.2500  0.7500 [4 per cell]
Ag  0.2500  0.2500  0.2500 [4 per cell]

Results
The value obtained for the calculated total energy is -0.3151 Ry per atom. The energy above the lowest structure with this stoichiometry is 0.81 kcal/mol of atoms. The calculation puts the density of states at the Fermi level at 3.78 states/eV/f.u. The value obtained for the energy relative to the elements is -0.2142 eV/atom.


(3)
The following is a DFT calculation (PBE) of a relaxed structure of HoCuAgPd.

Cell: 6.6433 6.6433 6.6433 Å, 90.00 90.00 90.00°
Space group F-43m (No. 216)
Asymmetric unit:
Ho  0.0000  0.0000  0.0000 [4 per cell]
Cu  0.2500  0.2500  0.2500 [4 per cell]
Ag  0.0000  0.0000  0.5000 [4 per cell]
Pd  0.2500  0.2500  0.7500 [4 per cell]

Results
The value obtained for the calculated total energy is -0.3357 Ry per atom. The calculation puts the density of states at the Fermi level at 1.23 states/eV/f.u. The value obtained for the energy relative to the elements is -0.3880 eV/atom.


(4)
The following is a DFT calculation (PBE) of a relaxed structure of HoCuAgPt.

Cell: 6.6541 6.6541 6.6541 Å, 90.00 90.00 90.00°
Space group F-43m (No. 216)
Asymmetric unit:
Ho  0.0000  0.0000  0.0000 [4 per cell]
Cu  0.2500  0.2500  0.7500 [4 per cell]
Ag  0.0000  0.0000  0.5000 [4 per cell]
Pt  0.2500  0.2500  0.2500 [4 per cell]

Results
The value obtained for the calculated total energy is -0.3579 Ry per atom. The calculation puts the density of states at the Fermi level at 0.78 states/eV/f.u. The value obtained for the energy relative to the elements is -0.4786 eV/atom.